! Mg2ScPb | Alexandria | PBE | optimized geometry; values from VASP
! Volume in Å³ per atom: 24.43
! ΔH_f (0 K) in meV per atom: -75
! Total DFT energy (no corrections) in Ry/atom: -0.249
&SYSTEM
  ibrav = 0, nat = 4, ntyp = 3
/
ATOMIC_SPECIES
Mg 24.30 Mg.upf
Sc 44.96 Sc.upf
Pb 207.20 Pb.upf
ATOMIC_POSITIONS crystal
Mg 0.155 0.000 0.245
Mg 0.845 0.000 0.755
Sc 0.500 0.500 0.000
Pb 0.000 0.500 0.500
CELL_PARAMETERS angstrom
3.389 0.000 0.000
0.000 4.896 0.000
-1.601 0.000 5.890



! MgSc2Pb | Alexandria | PBE | optimized geometry; values from VASP
! Volume in Å³ per atom: 23.12
! ΔH_f (0 K) in meV per atom: -282
! Total DFT energy (no corrections) in Ry/atom: -0.351
&SYSTEM
  ibrav = 0, nat = 4, ntyp = 3
/
ATOMIC_SPECIES
Mg 24.30 Mg.upf
Sc 44.96 Sc.upf
Pb 207.20 Pb.upf
ATOMIC_POSITIONS crystal
Mg 0.000 0.000 0.000
Sc 0.000 0.500 0.500
Sc 0.500 0.000 0.500
Pb 0.500 0.500 0.000
CELL_PARAMETERS angstrom
4.575 0.000 0.000
0.000 4.575 0.000
0.000 0.000 4.418



! MgScPb | Alexandria | PBE | optimized geometry; values from VASP
! Volume in Å³ per atom: 24.30
! ΔH_f (0 K) in meV per atom: -181
! Total DFT energy (no corrections) in Ry/atom: -0.298
&SYSTEM
  ibrav = 0, nat = 6, ntyp = 3
/
ATOMIC_SPECIES
Mg 24.30 Mg.upf
Sc 44.96 Sc.upf
Pb 207.20 Pb.upf
ATOMIC_POSITIONS crystal
Mg 0.000 0.000 0.000
Mg 0.033 0.033 0.549
Sc 0.347 0.347 0.543
Sc 0.685 0.685 0.002
Pb 0.358 0.358 0.053
Pb 0.674 0.674 0.492
CELL_PARAMETERS angstrom
5.608 -2.416 0.000
5.608 2.416 0.000
-2.923 0.000 5.381



! MgScPb | Alexandria | PBE | optimized geometry; values from VASP
! Volume in Å³ per atom: 24.15
! ΔH_f (0 K) in meV per atom: -225
! Total DFT energy (no corrections) in Ry/atom: -0.302
&SYSTEM
  ibrav = 0, nat = 6, ntyp = 3
/
ATOMIC_SPECIES
Mg 24.30 Mg.upf
Sc 44.96 Sc.upf
Pb 207.20 Pb.upf
ATOMIC_POSITIONS crystal
Mg 0.000 0.000 0.000
Mg 0.000 0.000 0.500
Sc 0.312 0.688 0.750
Sc 0.688 0.312 0.250
Pb 0.373 0.627 0.250
Pb 0.627 0.373 0.750
CELL_PARAMETERS angstrom
2.253 -5.242 0.000
2.253 5.242 0.000
0.000 0.000 6.134